w) The following is a meta-GGA SCAN calculation of La2TlZn at its PBEsol-relaxed geometry, from the Alexandria database.

Geometry as POSCAR:
```
La2TlZn
1.0
3.773 0.000 0.000
0.000 5.248 0.000
-1.887 -2.624 5.388
La Tl Zn
2 1 1
Cartesian
1.887 2.624 5.133
1.887 0.000 2.751
1.887 2.624 0.410
0.000 2.624 2.482
```

Output
Volume   106.7 Å³/f.u.

=====

x) The following is a meta-GGA SCAN calculation of La2TlZn at its PBEsol-relaxed geometry, from the Alexandria database.

Geometry as POSCAR:
```
La2TlZn
1.0
-1.961 0.163 3.282
-3.163 -3.672 -1.707
3.280 -3.824 2.150
Zn La Tl
1 2 1
Cartesian
-1.934 -2.487 1.199
0.249 -0.290 0.163
0.647 -4.434 0.607
0.835 -2.035 2.830
```

Output
Volume   107.7 Å³/f.u.

=====

y) The following is a meta-GGA SCAN calculation of La2TlZn at its PBEsol-relaxed geometry, from the Alexandria database.

Geometry as POSCAR:
```
La2TlZn
1.0
-2.305 2.330 1.863
1.115 -1.511 3.269
5.653 5.209 0.481
Tl La Zn
1 2 1
Cartesian
-0.595 0.409 2.566
4.101 3.780 0.349
1.551 1.430 0.132
2.231 3.014 2.806
```

Output
Volume   109.5 Å³/f.u.

=====

The data favor y); the next most stable structure lies 16 meV per atom above it.

=====

w) The following is a meta-GGA SCAN calculation of LaW3 at its PBEsol-relaxed geometry, from the Alexandria database.

Geometry as POSCAR:
```
LaW3
1.0
2.833 0.005 0.000
-1.036 2.637 0.000
0.000 0.000 9.736
W La
3 1
Cartesian
0.898 1.321 6.994
0.000 0.000 4.868
0.898 1.321 2.742
0.000 0.000 0.000
```

Output
Volume   72.8 Å³/f.u.

=====

x) The following is a meta-GGA SCAN calculation of LaW3 at its PBEsol-relaxed geometry, from the Alexandria database.

Geometry as POSCAR:
```
LaW3
1.0
2.875 0.000 0.000
-1.437 2.490 0.000
0.000 0.000 10.182
W La
3 1
Cartesian
0.000 0.000 5.091
1.437 0.830 2.803
1.437 0.830 7.379
0.000 0.000 0.000
```

Output
Volume   72.9 Å³/f.u.

=====

The data favor w); the next most stable structure lies 446 meV per atom above it.

=====

w) The following is a meta-GGA SCAN calculation of La2YW at its PBEsol-relaxed geometry, from the Alexandria database.

Geometry as POSCAR:
```
La2YW
1.0
-3.181 0.386 0.583
1.573 -1.685 2.302
2.121 9.344 5.389
Y W La
1 1 2
Cartesian
-0.804 -0.649 1.442
0.256 4.022 4.137
1.494 6.582 3.796
0.627 2.762 1.593
```

Output
Volume   106.6 Å³/f.u.

=====

x) The following is a meta-GGA SCAN calculation of La2YW at its PBEsol-relaxed geometry, from the Alexandria database.

Geometry as POSCAR:
```
La2YW
1.0
5.209 0.000 0.000
2.604 4.511 0.000
2.604 1.504 4.253
La Y W
2 1 1
Cartesian
0.000 0.000 0.000
7.813 4.511 3.190
2.604 1.504 1.063
5.209 3.007 2.126
```

Output
Volume   99.9 Å³/f.u.

=====

y) The following is a meta-GGA SCAN calculation of La2YW at its PBEsol-relaxed geometry, from the Alexandria database.

Geometry as POSCAR:
```
La2YW
1.0
-0.525 -2.801 1.707
4.097 0.742 2.477
-3.055 4.486 3.709
Y W La
1 1 2
Cartesian
-0.352 2.361 4.613
-2.058 -0.201 3.463
-3.050 4.431 3.717
0.870 -0.236 3.370
```

Output
Volume   103.4 Å³/f.u.

=====

The data favor y); the next most stable structure lies 53 meV per atom above it.

=====

w) The following is a meta-GGA SCAN calculation of LaZnW at its PBEsol-relaxed geometry, from the Alexandria database.

Geometry as POSCAR:
```
LaZnW
1.0
2.884 0.000 0.000
0.000 4.912 0.000
0.000 -2.456 4.254
La W Zn
1 1 1
Cartesian
1.442 0.000 0.000
0.000 0.000 2.836
0.000 2.456 1.418
```

Output
Volume   60.3 Å³/f.u.

=====

x) The following is a meta-GGA SCAN calculation of LaZnW at its PBEsol-relaxed geometry, from the Alexandria database.

Geometry as POSCAR:
```
LaZnW
1.0
2.974 0.000 0.000
0.000 3.813 0.000
-1.487 -1.907 5.396
Zn La W
1 1 1
Cartesian
0.000 0.000 3.206
0.000 0.000 0.032
1.487 1.907 2.157
```

Output
Volume   61.2 Å³/f.u.

=====

The data favor x); the next most stable structure lies 174 meV per atom above it.

=====

w) The following is a meta-GGA SCAN calculation of LaY4 at its PBEsol-relaxed geometry, from the Alexandria database.

Geometry as POSCAR:
```
LaY4
1.0
3.537 0.000 0.000
1.768 3.063 0.000
1.768 1.021 14.379
Y La
4 1
Cartesian
5.305 3.063 8.616
3.537 2.042 2.925
3.537 2.042 11.454
1.768 1.021 5.763
0.000 0.000 0.000
```

Output
Volume   155.8 Å³/f.u.

=====

x) The following is a meta-GGA SCAN calculation of LaY4 at its PBEsol-relaxed geometry, from the Alexandria database.

Geometry as POSCAR:
```
LaY4
1.0
5.016 0.000 0.000
2.508 5.591 0.000
2.508 0.000 5.591
Y La
4 1
Cartesian
5.016 4.464 2.234
2.508 2.234 1.126
5.016 1.126 3.357
7.524 3.357 4.464
0.000 0.000 0.000
```

Output
Volume   156.8 Å³/f.u.

=====

The data favor w); the next most stable structure lies 8 meV per atom above it.

=====

w) The following is a meta-GGA SCAN calculation of LaY2 at its PBEsol-relaxed geometry, from the Alexandria database.

Geometry as POSCAR:
```
LaY2
1.0
-0.778 1.644 -3.123
2.121 -6.169 -1.684
-8.261 -1.111 1.473
Y La
4 2
Cartesian
-7.369 -2.629 -1.639
-0.965 -4.435 -2.094
-4.337 -4.307 -1.186
-4.874 -1.266 0.548
-0.024 -0.031 -0.011
-2.574 -1.312 -2.140
```

Output
Volume   96.4 Å³/f.u.

=====

x) The following is a meta-GGA SCAN calculation of LaY2 at its PBEsol-relaxed geometry, from the Alexandria database.

Geometry as POSCAR:
```
LaY2
1.0
3.571 0.000 0.000
0.000 3.571 0.000
-1.786 -1.786 7.521
Y La
2 1
Cartesian
0.000 0.000 4.986
1.786 1.786 2.534
0.000 0.000 0.000
```

Output
Volume   95.9 Å³/f.u.

=====

The data favor w); the next most stable structure lies 10 meV per atom above it.

=====

w) The following is a meta-GGA SCAN calculation of LaY2 at its PBEsol-relaxed geometry, from the Alexandria database.

Geometry as POSCAR:
```
LaY2
1.0
3.563 0.000 0.000
0.000 5.044 0.000
-1.782 -2.522 5.306
La Y
1 2
Cartesian
0.000 0.000 0.000
1.782 2.522 1.783
0.000 0.000 3.524
```

Output
Volume   95.4 Å³/f.u.

=====

x) The following is a meta-GGA SCAN calculation of LaY2 at its PBEsol-relaxed geometry, from the Alexandria database.

Geometry as POSCAR:
```
LaY2
1.0
-0.612 2.755 2.085
-6.114 -5.369 5.302
9.425 0.339 2.318
Y La
6 3
Cartesian
-4.276 -2.109 4.485
2.277 -3.458 5.239
2.945 0.106 0.724
-1.910 -1.677 1.656
0.855 -0.386 3.714
5.815 1.598 2.547
4.245 -1.563 3.312
-0.306 1.378 1.042
-0.934 -3.466 4.307
```

Output
Volume   95.5 Å³/f.u.

=====

The data favor w); the next most stable structure lies 10 meV per atom above it.

=====

w) The following is a meta-GGA SCAN calculation of LaY2 at its PBEsol-relaxed geometry, from the Alexandria database.

Geometry as POSCAR:
```
LaY2
1.0
-2.609 0.126 -2.523
5.816 -0.177 -3.411
-1.698 -8.170 1.349
Y La
4 2
Cartesian
2.423 -3.944 -2.703
0.229 -1.119 -2.906
1.280 -7.102 -1.678
-0.915 -4.277 -1.881
2.625 -1.654 -5.412
-1.117 -6.567 0.827
```

Output
Volume   96.9 Å³/f.u.

=====

x) The following is a meta-GGA SCAN calculation of LaY2 at its PBEsol-relaxed geometry, from the Alexandria database.

Geometry as POSCAR:
```
LaY2
1.0
5.608 0.000 0.000
-2.804 4.856 0.000
0.000 0.000 7.059
La Y
2 4
Cartesian
2.804 1.619 5.294
0.000 3.238 1.765
0.000 0.000 3.529
0.000 3.238 5.294
2.804 1.619 1.765
0.000 0.000 0.000
```

Output
Volume   96.1 Å³/f.u.

=====

y) The following is a meta-GGA SCAN calculation of LaY2 at its PBEsol-relaxed geometry, from the Alexandria database.

Geometry as POSCAR:
```
LaY2
1.0
3.442 0.000 0.000
0.000 5.664 0.000
0.000 -2.832 4.905
La Y
1 2
Cartesian
1.721 0.000 0.000
0.000 2.832 1.635
0.000 0.000 3.270
```

Output
Volume   95.6 Å³/f.u.

=====

The data favor w); the next most stable structure lies 26 meV per atom above it.

=====

w) The following is a meta-GGA SCAN calculation of LaY2Zn at its PBEsol-relaxed geometry, from the Alexandria database.

Geometry as POSCAR:
```
LaY2Zn
1.0
3.588 0.000 0.000
0.000 3.588 0.000
0.000 0.000 8.622
La Y Zn
1 2 1
Cartesian
1.794 1.794 6.115
0.000 0.000 0.101
1.794 1.794 2.545
0.000 0.000 4.172
```

Output
Volume   111.0 Å³/f.u.

=====

x) The following is a meta-GGA SCAN calculation of LaY2Zn at its PBEsol-relaxed geometry, from the Alexandria database.

Geometry as POSCAR:
```
LaY2Zn
1.0
3.691 0.000 0.000
0.000 5.340 0.000
0.000 0.000 5.498
Y La Zn
2 1 1
Cartesian
0.000 0.000 0.000
1.845 0.000 2.749
0.000 2.670 2.749
1.845 2.670 0.000
```

Output
Volume   108.4 Å³/f.u.

=====

The data favor w); the next most stable structure lies 169 meV per atom above it.

=====

w) The following is a meta-GGA SCAN calculation of LaY2Zn at its PBEsol-relaxed geometry, from the Alexandria database.

Geometry as POSCAR:
```
LaY2Zn
1.0
-1.295 -2.405 -2.429
4.669 -2.321 -0.192
-3.245 -1.126 5.596
Y Zn La
2 1 1
Cartesian
-0.648 -1.450 1.781
-2.194 -4.665 3.039
-0.677 -1.269 -1.132
0.794 -4.362 1.145
```

Output
Volume   109.5 Å³/f.u.

=====

x) The following is a meta-GGA SCAN calculation of LaY2Zn at its PBEsol-relaxed geometry, from the Alexandria database.

Geometry as POSCAR:
```
LaY2Zn
1.0
-0.810 -0.118 -3.559
-1.607 -5.162 0.537
-3.984 4.373 2.635
La Y Zn
1 2 1
Cartesian
-0.804 -2.581 0.268
-4.201 -1.641 -0.863
-2.200 0.735 0.476
-0.405 -0.059 -1.779
```

Output
Volume   110.9 Å³/f.u.

=====

y) The following is a meta-GGA SCAN calculation of LaY2Zn at its PBEsol-relaxed geometry, from the Alexandria database.

Geometry as POSCAR:
```
LaY2Zn
1.0
-2.780 1.833 1.214
-2.161 -1.919 -2.052
-0.986 -5.734 6.402
Zn Y La
1 2 1
Cartesian
-2.471 -0.043 -0.419
-0.196 -1.142 1.275
-0.789 -4.591 5.126
-2.964 -2.910 2.782
```

Output
Volume   108.7 Å³/f.u.

=====

The data favor y); the next most stable structure lies 26 meV per atom above it.

=====

w) The following is a meta-GGA SCAN calculation of LaYZn2 at its PBEsol-relaxed geometry, from the Alexandria database.

Geometry as POSCAR:
```
LaYZn2
1.0
3.561 0.000 0.004
0.000 5.117 0.000
-0.006 0.000 5.118
Zn Y La
2 1 1
Cartesian
3.113 2.559 1.909
3.110 0.000 4.494
1.330 2.559 4.475
1.333 0.000 1.929
```

Output
Volume   93.3 Å³/f.u.

=====

x) The following is a meta-GGA SCAN calculation of LaYZn2 at its PBEsol-relaxed geometry, from the Alexandria database.

Geometry as POSCAR:
```
LaYZn2
1.0
5.102 0.000 0.000
2.551 4.418 0.000
2.551 1.473 4.165
Zn Y La
2 1 1
Cartesian
2.551 1.473 1.041
7.652 4.418 3.124
5.102 2.945 2.083
0.000 0.000 0.000
```

Output
Volume   93.9 Å³/f.u.

=====

y) The following is a meta-GGA SCAN calculation of LaYZn2 at its PBEsol-relaxed geometry, from the Alexandria database.

Geometry as POSCAR:
```
LaYZn2
1.0
-2.910 -1.855 0.839
0.943 -3.152 -3.702
3.778 -0.429 4.641
Zn Y La
2 1 1
Cartesian
2.069 -3.252 -0.017
1.603 -5.218 1.538
-0.148 -2.299 1.920
-0.884 -2.608 -1.318
```

Output
Volume   90.9 Å³/f.u.

=====

The data favor x); the next most stable structure lies 8 meV per atom above it.

=====

w) The following is a meta-GGA SCAN calculation of La5Zn at its PBEsol-relaxed geometry, from the Alexandria database.

Geometry as POSCAR:
```
La5Zn
1.0
3.683 0.000 0.000
0.000 3.683 0.000
0.000 0.000 13.719
La Zn
5 1
Cartesian
0.000 0.000 8.669
1.841 1.841 11.197
1.841 1.841 2.522
0.000 0.000 5.049
0.000 0.000 0.000
1.841 1.841 6.859
```

Output
Volume   186.0 Å³/f.u.

=====

x) The following is a meta-GGA SCAN calculation of La5Zn at its PBEsol-relaxed geometry, from the Alexandria database.

Geometry as POSCAR:
```
La5Zn
1.0
-2.665 -1.415 1.998
-2.375 -2.190 -4.721
6.057 -6.696 0.059
La Zn
5 1
Cartesian
3.313 -7.987 2.039
3.328 -8.172 -1.349
3.006 -4.710 0.673
0.079 -5.876 -0.780
0.058 -2.886 1.310
-0.020 -2.925 -2.099
```

Output
Volume   183.1 Å³/f.u.

=====

y) The following is a meta-GGA SCAN calculation of La5Zn at its PBEsol-relaxed geometry, from the Alexandria database.

Geometry as POSCAR:
```
La5Zn
1.0
-2.690 2.384 -0.978
-0.774 -5.261 -3.600
-3.788 -1.047 7.864
La Zn
5 1
Cartesian
-6.915 -3.471 3.463
-5.026 -0.811 4.752
-4.867 -3.045 -1.129
-3.014 -0.414 0.188
-3.625 -3.144 2.306
-1.699 -2.585 -1.627
```

Output
Volume   187.2 Å³/f.u.

=====

The data favor w); the next most stable structure lies 7 meV per atom above it.